Crystalline Ba2CoAgF at its relaxed geometry. Source: Alexandria, functional GGA+U.

abc: 5.3950 5.3950 5.2145
angles: 90.00 90.00 90.00
Closest atoms and distances in Å follow each position.
Positions (direct):
Ba 0.0000 0.5000 0.0000  2 F 2.70
Ba 0.5000 0.0000 0.0000  2 F 2.70
Co 0.0000 0.0000 0.5000  8 Ba 3.75, 4 Ag 3.81
Ag 0.5000 0.5000 0.5000  2 F 2.61
F 0.5000 0.5000 0.0000  2 Ag 2.61, 4 Ba 2.70

Output
total DFT energy (no corrections): -3.388 eV/atom